This record from Alexandria describes a relaxed structure of NiGe2Mo. The functional is GGA-PBE.

Output
The calculation puts the mass density at 7.72 g cm⁻³. For the density of states at the Fermi level, the calculation gives 2.89 states/eV/cell. As for the space group: No. 166. For the energy of formation from the pure elements, the calculation gives 0.20 eV per atom.

```
NiGe2Mo
1.0
-2.4405 -1.3629 -0.8525
-0.2574 -2.8901 0.3484
-4.3666 -0.1555 7.7404
Ge Mo Ni
2 1 1
direct
0.9124 0.9124 0.2627
0.0876 0.0876 0.7373
0.5000 0.5000 0.5000
0.0000 0.0000 0.0000
```


This record from Alexandria describes a relaxed structure of Ni2Sb3S3. The functional is GGA-PBE.

Output
The calculation puts the mass density at 5.82 g cm⁻³. For the density of states at the Fermi level, the calculation gives 17.75 states/eV/cell. As for the space group: No. 148. The uncorrected formation energy is -157 meV per atom.

```
Ni2Sb3S3
1.0
-6.7249 5.4712 -0.8302
-5.2434 -5.9154 3.6554
1.7107 3.3216 7.8669
Sb S Ni
12 12 8
direct
0.8361 0.5024 0.3508
0.1639 0.4976 0.6492
0.0015 0.1482 0.3349
0.4976 0.3508 0.8361
0.8518 0.3349 0.0015
0.6651 0.0015 0.8518
0.5024 0.6492 0.1639
0.1482 0.6651 0.9985
0.3349 0.9985 0.1482
0.6492 0.8361 0.4976
0.3508 0.1639 0.5024
0.9985 0.8518 0.6651
0.5029 0.3543 0.1659
0.1476 0.3364 0.0008
0.4971 0.6457 0.8341
0.9992 0.1476 0.6636
0.0008 0.8524 0.3364
0.3364 0.9992 0.8524
0.6636 0.0008 0.1476
0.6457 0.1659 0.5029
0.8341 0.5029 0.6457
0.3543 0.8341 0.4971
0.8524 0.6636 0.9992
0.1659 0.4971 0.3543
0.7628 0.2587 0.7315
0.2372 0.7413 0.2685
0.7315 0.2372 0.2587
0.2351 0.2351 0.7649
0.2685 0.7628 0.7413
0.7649 0.7649 0.2351
0.2587 0.2685 0.2372
0.7413 0.7315 0.7628
```


This record from Alexandria describes a relaxed structure of Ho2Pu2Rh3. The functional is GGA-PBE.

Output
The calculation puts the mass density at 11.59 g cm⁻³. For the density of states at the Fermi level, the calculation gives 15.92 states/eV/cell. As for the space group: No. 12. For the energy of formation from the pure elements, the calculation gives -0.52 eV per atom.

```
Ho2Pu2Rh3
1.0
4.1822 -0.0043 0.0024
-2.0840 6.6963 0.7381
0.0010 -0.1822 5.7476
Pu Rh Ho
2 3 2
direct
0.8997 0.7987 0.6019
0.1003 0.2013 0.3981
0.2706 0.5413 0.6602
0.0000 0.0000 0.0000
0.7294 0.4587 0.3398
0.6448 0.2897 0.8909
0.3552 0.7103 0.1091
```


This record from Alexandria describes a relaxed structure of Nd2BiSbO8. The functional is GGA-PBE.

Output
The calculation puts the mass density at 6.76 g cm⁻³. As for the space group: No. 12. The uncorrected formation energy is -2018 meV per atom.

```
Nd2BiSbO8
1.0
5.1646 -0.1315 0.0019
-0.1292 5.1608 -0.0003
0.0108 0.0152 6.8885
O Nd Bi Sb
8 2 1 1
direct
0.7241 0.7237 0.9775
0.7090 0.7085 0.5192
0.1592 0.8045 0.2353
0.1959 0.8410 0.7648
0.8408 0.1955 0.7647
0.8041 0.1590 0.2352
0.2910 0.2915 0.4808
0.2759 0.2763 0.0225
0.4750 0.4745 0.7562
0.5250 0.5255 0.2438
0.0000 0.0000 0.5000
0.0000 0.0000 0.0000
```


This record from Alexandria describes a relaxed structure of KMo2Pt. The functional is GGA-PBE.

Output
The calculation puts the mass density at 9.74 g cm⁻³. For the distance to the lowest polymorph of the same formula, the calculation gives 636.7 meV per atom. For the density of states at the Fermi level, the calculation gives 3.62 states/eV/cell. As for the space group: No. 65. For the energy of formation from the pure elements, the calculation gives 1.04 eV per atom.

```
KMo2Pt
1.0
-2.2699 4.9000 1.7332
-3.0188 -4.7800 -0.4539
0.6004 -0.6204 2.5402
Mo K Pt
2 1 1
direct
0.5000 0.5000 0.0000
0.0000 0.0000 0.0000
0.0000 0.5000 0.5000
0.5000 0.0000 0.5000
```


This record from Alexandria describes a relaxed structure of Te3Ru5. The functional is GGA-PBE.

Output
The calculation puts the mass density at 10.35 g cm⁻³. For the distance to the lowest polymorph of the same formula, the calculation gives 117.7 meV per atom. For the density of states at the Fermi level, the calculation gives 16.12 states/eV/cell. As for the space group: No. 8. The uncorrected formation energy is 337 meV per atom.

```
Te3Ru5
1.0
7.4266 0.0020 0.0000
-4.7247 5.7164 0.0000
-1.3509 -2.8592 6.7133
Ru Te
10 6
direct
0.6197 0.3372 0.8510
0.2687 0.9862 0.1490
0.6616 0.1632 0.5000
0.8373 0.1204 0.8509
0.3377 0.4871 0.7174
0.4864 0.7695 0.1491
0.1623 0.6628 0.5000
0.7676 0.6190 0.2832
0.1203 0.2697 0.2826
0.9844 0.8359 0.7168
0.2927 0.2928 0.9994
0.2509 0.0793 0.5000
0.7518 0.2518 0.1723
0.5791 0.7524 0.5000
0.0795 0.5794 0.8277
0.7933 0.7933 0.0006
```


This record from Alexandria describes a relaxed structure of SmBeCu4. The functional is GGA-PBE.

Output
The calculation puts the mass density at 7.76 g cm⁻³. For the distance to the lowest polymorph of the same formula, the calculation gives 0.0 meV per atom. For the density of states at the Fermi level, the calculation gives 4.24 states/eV/cell. As for the space group: No. 187. For the energy of formation from the pure elements, the calculation gives -0.14 eV per atom.

```
SmBeCu4
1.0
5.1274 0.0000 0.0000
-2.5637 4.4405 0.0000
0.0000 0.0000 3.8871
Cu Be Sm
4 1 1
direct
0.3432 0.1716 0.5000
0.8284 0.1716 0.5000
0.8284 0.6568 0.5000
0.0000 0.0000 0.0000
0.6667 0.3333 0.0000
0.3333 0.6667 0.0000
```


This record from Alexandria describes a relaxed structure of CaAuS2. The functional is GGA-PBE.

Output
The calculation puts the mass density at 4.34 g cm⁻³. For the distance to the lowest polymorph of the same formula, the calculation gives 0.0 meV per atom. For the density of states at the Fermi level, the calculation gives 7.03 states/eV/cell. As for the space group: No. 166. The uncorrected formation energy is -820 meV per atom.

```
CaAuS2
1.0
-0.2649 7.5154 1.7492
3.7273 6.7451 0.4699
0.6371 7.3068 -2.4114
Ca S Au
1 2 1
direct
0.5000 0.5000 0.5000
0.8973 0.8973 0.8973
0.1027 0.1027 0.1027
0.0000 0.0000 0.0000
```


mass density of number 5 (KMo2Pt)? 9.74 g cm⁻³


The lowest mass density belongs to which entry? CaAuS2


mass density of number 2 (Ni2Sb3S3)? 5.82 g cm⁻³